# 1
Below is crystalline Sm6Al2Cu at its relaxed geometry, with properties calculated at the PBE level.

Properties
The energy comes out at -39.744 eV per formula unit. The calculation puts the formation energy at 0.2 eV/f.u. Its magnetization is 0.0 Bohr magnetons per cell. As for the density of states at the Fermi level: 1.330 states/eV/atom.

Cell: 15.873 7.259 5.044 Å, 90.00 108.40 90.00°
Space group C2/m (No. 12)
One atom of each set of equivalent atoms:
Sm 0.000 0.240 0.000 [4 per cell]
Sm 0.162 0.245 0.662 [8 per cell]
Al 0.166 0.500 0.166 [4 per cell]
Cu 0.000 0.000 0.500 [2 per cell]

# 2
Below is crystalline SmAl7Cu5 at its relaxed geometry, with properties calculated at the PBE level.

Properties
The energy comes out at -55.931 eV per formula unit. The calculation puts the formation energy at -4.5 eV/f.u. Its magnetization is 0.0 Bohr magnetons per cell. As for the density of states at the Fermi level: 0.206 states/eV/atom.

Cell: 5.119 8.833 8.712 Å, 90.00 90.00 90.00°
Space group Imm2 (No. 44)
One atom of each set of equivalent atoms:
Sm 0.000 0.000 0.000 [2 per cell]
Al 0.000 0.000 0.346 [2 per cell]
Al 0.000 0.000 0.649 [2 per cell]
Al 0.000 0.290 0.508 [4 per cell]
Al 0.000 0.349 0.993 [4 per cell]
Al 0.000 0.500 0.274 [2 per cell]
Cu 0.000 0.500 0.729 [2 per cell]
Cu 0.248 0.253 0.253 [8 per cell]

# 3
Below is crystalline Sm8Al2Cu at its relaxed geometry, with properties calculated at the PBE level.

Properties
The energy comes out at -50.891 eV per formula unit. As for the offset from the most stable computed form: 0 meV per atom. The calculation puts the formation energy at -1.6 eV/f.u. Its magnetization is 0.0 Bohr magnetons per cell. As for the density of states at the Fermi level: 0.972 states/eV/atom.

Cell: 18.708 5.122 6.758 Å, 90.00 103.36 90.00°
Space group C2/m (No. 12)
One atom of each set of equivalent atoms:
Sm 0.019 0.000 0.277 [4 per cell]
Sm 0.094 0.500 0.963 [4 per cell]
Sm 0.153 0.500 0.472 [4 per cell]
Sm 0.208 0.000 0.799 [4 per cell]
Al 0.186 0.000 0.247 [4 per cell]
Cu 0.000 0.500 0.500 [2 per cell]